Record 1
VASP calculation (GGA-PBE) on a relaxed Cs3YSc2Se6 crystal.

a = 7.170 Å, b = 7.170 Å, c = 8.647 Å
α = 97.95°, β = 97.95°, γ = 120.00°
Atoms (fractional coordinates):
Cs 0.164 0.836 0.500
Cs 0.836 0.164 0.500
Cs 0.500 0.500 0.500
Y 0.000 0.000 0.000
Sc 0.333 0.667 0.000
Sc 0.667 0.333 0.000
Se 0.940 0.594 0.820
Se 0.714 0.714 0.179
Se 0.060 0.406 0.180
Se 0.594 0.940 0.820
Se 0.286 0.286 0.821
Se 0.406 0.060 0.180

Output
Magnetization   0.00 Bohr magnetons per cell
VASP energy   -62.0 eV/cell
Crystal system   monoclinic
Space-group type   C2/m



Record 2
VASP calculation (GGA-PBE) on a relaxed CsYScSe3 crystal.

a = 4.408 Å, b = 9.600 Å, c = 10.536 Å
α = 111.53°, β = 90.00°, γ = 90.00°
Atoms (fractional coordinates):
Cs 0.250 0.221 0.237
Cs 0.750 0.779 0.763
Y 0.250 0.664 0.131
Y 0.750 0.336 0.869
Sc 0.250 0.090 0.611
Sc 0.750 0.910 0.389
Se 0.750 0.872 0.135
Se 0.250 0.128 0.865
Se 0.250 0.798 0.445
Se 0.750 0.202 0.555
Se 0.750 0.478 0.155
Se 0.250 0.522 0.845

Output
Magnetization   0.00 Bohr magnetons per cell
VASP energy   -67.4 eV/cell
Crystal system   monoclinic
Space-group type   P2_1/m



Record 3
VASP calculation (GGA-PBE) on a relaxed CsScSi crystal.

a = 8.297 Å, b = 4.894 Å, c = 13.065 Å
α = 90.00°, β = 90.00°, γ = 90.00°
Atoms (fractional coordinates):
Cs 0.889 0.250 0.366
Cs 0.611 0.750 0.866
Cs 0.111 0.750 0.634
Cs 0.389 0.250 0.134
Sc 0.048 0.250 0.924
Sc 0.452 0.750 0.424
Sc 0.952 0.750 0.076
Sc 0.548 0.250 0.576
Si 0.327 0.250 0.429
Si 0.173 0.750 0.929
Si 0.673 0.750 0.571
Si 0.827 0.250 0.071

Output
Magnetization   0.00 Bohr magnetons per cell
Crystal system   orthorhombic
Energy relative to the lowest polymorph listed for this composition   0.353 eV per atom
Space-group type   Pnma



Record 4
VASP calculation (GGA-PBE) on a relaxed CsScSi crystal.

a = 5.143 Å, b = 5.144 Å, c = 7.586 Å
α = 89.95°, β = 90.01°, γ = 90.00°
Atoms (fractional coordinates):
Cs 0.392 0.069 0.720
Cs 0.892 0.570 0.719
Sc 0.891 0.569 0.219
Sc 0.391 0.069 0.220
Si 0.391 0.569 0.355
Si 0.891 0.069 0.084

Output
Magnetization   0.00 Bohr magnetons per cell
Crystal system   monoclinic
Energy relative to the lowest polymorph listed for this composition   0.162 eV per atom
Space-group type   P2_1/m



Record 5
VASP calculation (GGA-PBE) on a relaxed CsScSi3 crystal.

a = 5.319 Å, b = 5.319 Å, c = 5.319 Å
α = 90.00°, β = 90.00°, γ = 90.00°
Atoms (fractional coordinates):
Cs 0.000 0.000 0.000
Sc 0.500 0.500 0.500
Si 0.000 0.500 0.000
Si 0.000 0.000 0.500
Si 0.500 0.000 0.000

Output
Magnetization   0.00 Bohr magnetons per cell
Crystal system   cubic
Energy relative to the lowest polymorph listed for this composition   1.489 eV per atom
Space-group type   Pm-3m



Record 6
VASP calculation (GGA-PBE) on a relaxed CsScSi crystal.

a = 8.897 Å, b = 5.021 Å, c = 8.183 Å
α = 90.00°, β = 90.00°, γ = 90.00°
Atoms (fractional coordinates):
Cs 0.012 0.250 0.851
Cs 0.488 0.750 0.351
Cs 0.988 0.750 0.149
Cs 0.512 0.250 0.649
Sc 0.866 0.250 0.429
Sc 0.634 0.750 0.929
Sc 0.134 0.750 0.571
Sc 0.366 0.250 0.071
Si 0.169 0.250 0.391
Si 0.331 0.750 0.891
Si 0.831 0.750 0.609
Si 0.669 0.250 0.109

Output
Magnetization   0.00 Bohr magnetons per cell
Crystal system   orthorhombic
Energy relative to the lowest polymorph listed for this composition   0.309 eV per atom
Space-group type   Pnma



Record 7
VASP calculation (GGA-PBE) on a relaxed CsScSi crystal.

a = 5.421 Å, b = 5.421 Å, c = 7.760 Å
α = 73.97°, β = 74.83°, γ = 103.38°
Atoms (fractional coordinates):
Cs 0.178 0.684 0.712
Cs 0.665 0.182 0.727
Sc 0.712 0.643 0.218
Sc 0.131 0.222 0.221
Si 0.232 0.743 0.220
Si 0.611 0.122 0.219

Output
Magnetization   0.16 Bohr magnetons per cell
Crystal system   monoclinic
Energy relative to the lowest polymorph listed for this composition   0.252 eV per atom
Space-group type   C2/m



Record 8
VASP calculation (GGA-PBE) on a relaxed CsScSi crystal.

a = 4.929 Å, b = 4.929 Å, c = 8.468 Å
α = 89.99°, β = 90.00°, γ = 90.00°
Atoms (fractional coordinates):
Cs 0.391 0.069 0.856
Cs 0.891 0.569 0.583
Sc 0.891 0.069 0.220
Sc 0.391 0.569 0.220
Si 0.391 0.069 0.364
Si 0.891 0.569 0.075

Output
Magnetization   0.00 Bohr magnetons per cell
Crystal system   tetragonal
Energy relative to the lowest polymorph listed for this composition   0.000 eV per atom
Space-group type   P4/nmm



Record 9
VASP calculation (GGA-PBE) on a relaxed CsScSi crystal.

a = 5.256 Å, b = 5.258 Å, c = 12.764 Å
α = 119.30°, β = 79.26°, γ = 104.86°
Atoms (fractional coordinates):
Cs 0.294 0.034 0.912
Cs 0.857 0.058 0.513
Sc 0.887 0.708 0.188
Sc 0.465 0.177 0.235
Si 0.359 0.656 0.235
Si 0.985 0.282 0.234

Output
Magnetization   0.63 Bohr magnetons per cell
Crystal system   triclinic
Energy relative to the lowest polymorph listed for this composition   0.152 eV per atom
Space-group type   P1



Record 10
VASP calculation (GGA-PBE) on a relaxed CsScSi3 crystal.

a = 5.258 Å, b = 5.258 Å, c = 5.258 Å
α = 90.00°, β = 90.00°, γ = 90.00°
Atoms (fractional coordinates):
Cs 0.500 0.500 0.500
Sc 0.000 0.000 0.000
Si 0.000 0.500 0.000
Si 0.000 0.000 0.500
Si 0.500 0.000 0.000

Output
Magnetization   0.00 Bohr magnetons per cell
Crystal system   cubic
Energy relative to the lowest polymorph listed for this composition   0.000 eV per atom
Space-group type   Pm-3m



Record 11
VASP calculation (GGA-PBE) on a relaxed Cs2ScSiTe4 crystal.

a = 6.994 Å, b = 8.400 Å, c = 14.210 Å
α = 84.12°, β = 75.75°, γ = 65.40°
Atoms (fractional coordinates):
Cs 0.180 0.000 0.640
Cs 0.820 0.000 0.360
Cs 0.570 0.500 0.860
Cs 0.930 0.500 0.140
Sc 0.750 0.500 0.500
Sc 0.000 0.000 0.000
Si 0.250 0.500 0.500
Si 0.500 0.000 0.000
Te 0.311 0.805 0.105
Te 0.221 0.195 0.895
Te 0.884 0.805 0.895
Te 0.584 0.195 0.105
Te 0.439 0.695 0.395
Te 0.529 0.305 0.605
Te 0.866 0.695 0.605
Te 0.166 0.305 0.395

Output
Magnetization   0.01 Bohr magnetons per cell
VASP energy   -64.5 eV/cell
Crystal system   orthorhombic
Space-group type   Fddd



Record 12
VASP calculation (GGA-PBE) on a relaxed CsScTlSi2 crystal.

a = 5.220 Å, b = 6.122 Å, c = 5.220 Å
α = 90.00°, β = 90.00°, γ = 90.00°
Atoms (fractional coordinates):
Cs 0.000 0.500 0.000
Sc 0.000 0.000 0.000
Tl 0.500 0.500 0.500
Si 0.000 0.000 0.500
Si 0.500 0.000 0.000

Output
Magnetization   0.00 Bohr magnetons per cell
VASP energy   -17.5 eV/cell
Crystal system   tetragonal
Space-group type   P4/mmm



What did the first record say?
VASP calculation (GGA-PBE) on a relaxed Cs3YSc2Se6 crystal.

a = 7.170 Å, b = 7.170 Å, c = 8.647 Å
α = 97.95°, β = 97.95°, γ = 120.00°
Atoms (fractional coordinates):
Cs 0.164 0.836 0.500
Cs 0.836 0.164 0.500
Cs 0.500 0.500 0.500
Y 0.000 0.000 0.000
Sc 0.333 0.667 0.000
Sc 0.667 0.333 0.000
Se 0.940 0.594 0.820
Se 0.714 0.714 0.179
Se 0.060 0.406 0.180
Se 0.594 0.940 0.820
Se 0.286 0.286 0.821
Se 0.406 0.060 0.180

Output
Magnetization   0.00 Bohr magnetons per cell
VASP energy   -62.0 eV/cell
Crystal system   monoclinic
Space-group type   C2/m